Here is a relaxed Li3Co2RuO6 crystal from Alexandria. Energies are from GGA+U.

Calculated values
Energy relative to the lowest polymorph listed for this composition = 0.039 eV per formula unit
Space group = C2/m

Cell: 5.184 5.184 5.203 Å, 99.67 99.67 119.86°
Positions (direct):
Li  0.000  0.000  0.000
Li  0.334  0.666  0.000
Li  0.666  0.334  0.000
Co  0.168  0.832  0.500
Co  0.832  0.168  0.500
Ru  0.500  0.500  0.500
O  0.104  0.421  0.264
O  0.261  0.261  0.732
O  0.421  0.104  0.264
O  0.579  0.896  0.736
O  0.739  0.739  0.268
O  0.896  0.579  0.736